This record from Alexandria describes a relaxed ZnGa2Pt2 crystal. The functional is PBE.

Values from the calculation:
ΔE to the lowest computed polymorph: 0.341 eV per atom
Density of states at the Fermi level: 1.963 states/eV per cell
Space group: No. 139
Energy relative to the elements: -248 meV/atom

a = 6.303 Å, b = 6.303 Å, c = 6.303 Å
α = 143.21°, β = 143.21°, γ = 53.02°
Element x y z (fractional)
Zn 0.000 0.000 0.000
Ga 0.391 0.391 0.000
Ga 0.609 0.609 0.000
Pt 0.250 0.750 0.500
Pt 0.750 0.250 0.500